NbPt2W: optimized geometry, PBE. Values from VASP.

Quantum ESPRESSO input file:
```
&SYSTEM
  ibrav = 0, nat = 16, ntyp = 3
/
ATOMIC_SPECIES
Nb 92.91 Nb.upf
Pt 195.08 Pt.upf
W 183.84 W.upf
CELL_PARAMETERS angstrom
6.4356 0.0000 0.0000
0.0000 6.4356 0.0000
0.0000 0.0000 6.4356
ATOMIC_POSITIONS angstrom
Nb 0.0000 0.0000 0.0000
Nb 0.0000 3.2178 3.2178
Nb 3.2178 0.0000 3.2178
Nb 3.2178 3.2178 0.0000
Pt 1.6089 1.6089 1.6089
Pt 1.6089 1.6089 4.8267
Pt 1.6089 4.8267 1.6089
Pt 1.6089 4.8267 4.8267
Pt 4.8267 1.6089 1.6089
Pt 4.8267 1.6089 4.8267
Pt 4.8267 4.8267 1.6089
Pt 4.8267 4.8267 4.8267
W 0.0000 0.0000 3.2178
W 0.0000 3.2178 0.0000
W 3.2178 0.0000 0.0000
W 3.2178 3.2178 3.2178
```

The total energy comes out at -8.746 eV per atom. As for the energy above the lowest structure with this stoichiometry: 0.0000 eV/atom. The magnetic moment comes out at 0.00 μB/cell. Its symmetry is No. 225. The formation enthalpy at 0 K comes out at 0.030 eV per atom.

=====

TeRu: optimized geometry, PBE. Values from VASP.

Quantum ESPRESSO input file:
```
&SYSTEM
  ibrav = 0, nat = 8, ntyp = 2
/
ATOMIC_SPECIES
Te 127.60 Te.upf
Ru 101.07 Ru.upf
CELL_PARAMETERS angstrom
0.0000 4.2890 6.0505
4.0135 0.0000 6.0505
4.0135 4.2890 0.0000
ATOMIC_POSITIONS angstrom
Te 3.0101 1.0661 4.5378
Te 5.0169 3.2106 7.5631
Te 3.0101 5.3674 4.5378
Te 5.0169 7.5119 7.5631
Ru 3.0101 3.2168 3.1170
Ru 3.0101 3.2168 5.9587
Ru 5.0169 5.3613 6.1422
Ru 5.0169 5.3613 8.9839
```

The total energy comes out at -6.085 eV per atom. The formation energy from raw total energies comes out at 0.1239 eV per atom. The magnetic moment comes out at 0.00 μB/cell. Its symmetry is No. 70.

=====

PmSnBrO2: optimized geometry, PBE. Values from VASP.

Quantum ESPRESSO input file:
```
&SYSTEM
  ibrav = 0, nat = 10, ntyp = 4
/
ATOMIC_SPECIES
Pm 145.00 Pm.upf
Sn 118.71 Sn.upf
Br 79.90 Br.upf
O 16.00 O.upf
CELL_PARAMETERS angstrom
7.0661 0.0000 0.0000
0.0000 4.0178 0.0000
-2.4328 0.0000 7.9088
ATOMIC_POSITIONS angstrom
Pm 0.1447 1.0044 3.2339
Pm 4.4886 3.0133 4.6749
Sn -1.0649 1.0044 7.3325
Sn 5.6982 3.0133 0.5763
Br 2.4291 3.0133 2.3750
Br 2.2042 1.0044 5.5338
O -0.2780 1.0044 0.9453
O -1.4803 1.0044 4.9312
O 6.1136 3.0133 2.9776
O 4.9112 3.0133 6.9635
```

The total energy comes out at -6.285 eV per atom. The formation energy from raw total energies comes out at -2.2169 eV per atom. The magnetic moment comes out at 0.00 μB/cell. Its symmetry is No. 11.

=====

Dy6MnS8: optimized geometry, PBE. Values from VASP.

Quantum ESPRESSO input file:
```
&SYSTEM
  ibrav = 0, nat = 15, ntyp = 3
/
ATOMIC_SPECIES
Dy 162.50 Dy.upf
Mn 54.94 Mn.upf
S 32.06 S.upf
CELL_PARAMETERS angstrom
0.0000 5.4854 5.4854
5.4854 0.0000 5.4854
5.4854 5.4854 0.0000
ATOMIC_POSITIONS angstrom
Dy 2.7427 2.7427 0.0000
Dy 2.7427 0.0000 2.7427
Dy 5.4854 2.7427 2.7427
Dy 0.0000 2.7427 2.7427
Dy 2.7427 5.4854 2.7427
Dy 2.7427 2.7427 5.4854
Mn 0.0000 0.0000 0.0000
S 5.4854 5.4854 2.6578
S 5.4854 2.6578 5.4854
S 8.3130 5.4854 5.4854
S 2.7427 2.7427 2.7427
S 8.2281 8.2281 8.2281
S 2.6578 5.4854 5.4854
S 5.4854 8.3130 5.4854
S 5.4854 5.4854 8.3130
```

The total energy comes out at -6.514 eV per atom. The formation energy from raw total energies comes out at -1.8608 eV per atom. The magnetic moment comes out at 4.68 μB/cell. Its symmetry is No. 225.

=====

Sr5ZnAu2: optimized geometry, PBE. Values from VASP.

Quantum ESPRESSO input file:
```
&SYSTEM
  ibrav = 0, nat = 16, ntyp = 3
/
ATOMIC_SPECIES
Sr 87.62 Sr.upf
Zn 65.41 Zn.upf
Au 196.97 Au.upf
CELL_PARAMETERS angstrom
-4.2365 4.2365 7.8159
4.2365 -4.2365 7.8159
4.2365 4.2365 -7.8159
ATOMIC_POSITIONS angstrom
Sr 0.0000 0.0000 0.0000
Sr 5.6505 1.4140 -2.1995
Sr 1.4140 2.8226 -2.1995
Sr 5.6505 1.4140 2.1995
Sr 1.4140 2.8226 2.1995
Sr 0.0000 0.0000 7.8159
Sr 2.8226 1.4140 5.6163
Sr -1.4140 2.8226 5.6163
Sr 2.8226 1.4140 10.0154
Sr -1.4140 2.8226 10.0154
Zn 0.0000 0.0000 3.9079
Zn 0.0000 0.0000 11.7238
Au 3.1467 1.0898 0.0000
Au 3.1467 -1.0898 7.8159
Au 1.0898 5.3264 0.0000
Au 1.0898 3.1467 7.8159
```

The total energy comes out at -2.510 eV per atom. The magnetic moment comes out at 0.00 μB/cell. Its symmetry is No. 140. The formation enthalpy at 0 K comes out at -0.481 eV per atom.

=====

KNdCdTe3: optimized geometry, PBE. Values from VASP.

Quantum ESPRESSO input file:
```
&SYSTEM
  ibrav = 0, nat = 12, ntyp = 4
/
ATOMIC_SPECIES
K 39.10 K.upf
Nd 144.24 Nd.upf
Cd 112.41 Cd.upf
Te 127.60 Te.upf
CELL_PARAMETERS angstrom
9.6371 0.0000 0.0000
0.0000 4.5942 0.0000
-3.0959 0.0000 10.3911
ATOMIC_POSITIONS angstrom
K 1.3017 1.1485 2.4699
K 5.2395 3.4456 7.9212
Nd 0.4581 3.4456 8.9545
Nd 6.0831 1.1485 1.4365
Cd -1.0639 1.1485 6.3174
Cd 7.6052 3.4456 4.0737
Te -1.7893 1.1485 9.0385
Te 0.5434 3.4456 5.5801
Te 3.9073 3.4456 1.6840
Te 2.6339 1.1485 8.7071
Te 5.9978 1.1485 4.8110
Te 8.3305 3.4456 1.3525
```

The total energy comes out at -3.766 eV per atom. The formation energy from raw total energies comes out at -1.0648 eV per atom. The magnetic moment comes out at 0.00 μB/cell. Its symmetry is No. 11.